CeScAlIn | PBE | optimized geometry

Properties
Relative energy among the computed polymorphs: 54.5 meV per atom
E_form: -0.333 eV per atom
DOS(E_F): 1.6334 states/eV/atom

Cell: 7.2698 7.2698 7.2698 Å, 90.00 90.00 90.00°
Space group F-43m (No. 216)
Unique sites:
Ce  0.0000  0.0000  0.0000 (multiplicity 4)
Sc  0.0000  0.0000  0.5000 (multiplicity 4)
Al  0.2500  0.2500  0.2500 (multiplicity 4)
In  0.2500  0.2500  0.7500 (multiplicity 4)